The following is a DFT calculation (PBE) of a geometry-optimized SmEuHgRu structure.

Unit cell a=5.1502 b=5.1502 c=5.1502 alpha=60.00 beta=60.00 gamma=60.00
Positions (direct):
1 Sm 0.0000 0.0000 0.0000
2 Eu 0.5000 0.5000 0.5000
3 Hg 0.2500 0.2500 0.2500
4 Ru 0.7500 0.7500 0.7500

Properties
The value obtained for the total magnetization is 6.9 μB per formula unit. The symmetry is F-43m (216). The energy relative to the elements comes out at -0.167 eV/atom.